Record 1
SnBi2Sb2Pd7 PBE relaxed; M_tot = 0.000 μB/f.u.; energy = -5.03 eV per atom; SG = C2/m, No. 12
1.0
2.8067 -2.8066 0.0000
2.8067 2.8066 0.0000
-2.7857 0.0000 16.5611
Sn Bi Sb Pd
1 2 2 7
direct
0.0000 0.0000 0.0000
0.3819 0.3819 0.7608
0.6181 0.6181 0.2392
0.2164 0.2164 0.4323
0.7836 0.7836 0.5677
0.0614 0.5613 0.1248
0.2964 0.2964 0.5936
0.4387 0.9386 0.8752
0.5000 0.5000 0.0000
0.5613 0.0614 0.1248
0.7036 0.7036 0.4064
0.9386 0.4387 0.8752

Record 2
Sr3Bi2SbPd9 PBE relaxed; M_tot = 0.000 μB/f.u.; energy = -4.60 eV per atom; SG = P-3m1, No. 164
1.0
7.0246 0.0000 0.0000
-3.5123 6.0835 0.0000
0.0000 0.0000 9.2921
Sr Bi Sb Pd
3 2 1 9
direct
0.0000 0.0000 0.0000
0.3333 0.6667 0.7204
0.6667 0.3333 0.2796
0.3333 0.6667 0.1931
0.6667 0.3333 0.8069
0.0000 0.0000 0.5000
0.0000 0.5000 0.0000
0.1316 0.2631 0.2814
0.1316 0.8684 0.2814
0.2631 0.1316 0.7186
0.5000 0.0000 0.0000
0.5000 0.5000 0.0000
0.7369 0.8684 0.2814
0.8684 0.1316 0.7186
0.8684 0.7369 0.7186

Record 3
Sr3Bi2SbPd6 PBE relaxed; M_tot = 0.000 μB/f.u.; energy = -4.65 eV per atom; SG = P-3m1, No. 164
1.0
6.0683 0.0000 0.0000
-3.0341 5.2553 0.0000
0.0000 0.0000 9.1945
Sr Bi Sb Pd
3 2 1 6
direct
0.0000 0.0000 0.0000
0.3333 0.6667 0.6188
0.6667 0.3333 0.3812
0.3333 0.6667 0.0469
0.6667 0.3333 0.9531
0.0000 0.0000 0.5000
0.1731 0.3463 0.2889
0.1731 0.8269 0.2889
0.3463 0.1731 0.7111
0.6537 0.8269 0.2889
0.8269 0.1731 0.7111
0.8269 0.6537 0.7111

Record 4
Sr3BiSb2Pd6 PBE relaxed; M_tot = 0.000 μB/f.u.; energy = -4.64 eV per atom; SG = P-3m1, No. 164
1.0
5.9651 0.0000 0.0000
-2.9825 5.1659 0.0000
0.0000 0.0000 9.6862
Sr Bi Sb Pd
3 1 2 6
direct
0.0000 0.0000 0.0000
0.3333 0.6667 0.6226
0.6667 0.3333 0.3774
0.0000 0.0000 0.5000
0.3333 0.6667 0.0675
0.6667 0.3333 0.9325
0.1704 0.3407 0.2799
0.1704 0.8296 0.2799
0.3407 0.1704 0.7201
0.6593 0.8296 0.2799
0.8296 0.1704 0.7201
0.8296 0.6593 0.7201

Record 5
Sr2BiSb4Pd3 PBE relaxed; M_tot = 0.000 μB/f.u.; energy = -4.53 eV per atom; SG = P-4m2, No. 115
1.0
4.6574 0.0000 0.0000
0.0000 4.6574 0.0000
0.0000 0.0000 12.1709
Sr Bi Sb Pd
2 1 4 3
direct
0.0000 0.5000 0.2338
0.5000 0.0000 0.7662
0.0000 0.0000 0.5000
0.0000 0.0000 0.0000
0.0000 0.5000 0.6611
0.5000 0.0000 0.3389
0.5000 0.5000 0.0000
0.0000 0.5000 0.8795
0.5000 0.0000 0.1205
0.5000 0.5000 0.5000

Record 6
SrBiSb2Pd5 PBE relaxed; M_tot = 0.000 μB/f.u.; energy = -4.82 eV per atom; SG = P4/mmm, No. 123
1.0
4.4024 0.0000 0.0000
0.0000 4.4024 0.0000
0.0000 0.0000 11.4569
Sr Bi Sb Pd
1 1 2 5
direct
0.0000 0.0000 0.0000
0.0000 0.0000 0.5000
0.5000 0.5000 0.2231
0.5000 0.5000 0.7769
0.0000 0.5000 0.3503
0.0000 0.5000 0.6497
0.5000 0.0000 0.3503
0.5000 0.0000 0.6497
0.5000 0.5000 0.0000

Record 7
TbBi2Sb2Pd7 PBE relaxed; M_tot = 0.000 μB/f.u.; energy = -5.22 eV per atom; SG = C2/m, No. 12
1.0
2.9134 -2.9114 0.0000
2.9134 2.9114 0.0000
-1.7073 0.0000 15.1606
Tb Bi Sb Pd
1 2 2 7
direct
0.0000 0.0000 0.0000
0.1282 0.1282 0.4064
0.8718 0.8718 0.5936
0.4275 0.4275 0.7507
0.5725 0.5725 0.2493
0.0405 0.5412 0.1389
0.3643 0.3643 0.5760
0.4588 0.9595 0.8611
0.5000 0.5000 0.0000
0.5412 0.0405 0.1389
0.6357 0.6357 0.4240
0.9595 0.4588 0.8611

Record 8
BiSbTe2Pd PBE relaxed; distance to the lowest polymorph of the same formula = 825.6 meV per atom; M_tot = 0.426 μB/f.u.; energy = -2.84 eV per atom; SG = P4/mmm, No. 123
1.0
5.9072 0.0000 0.0000
0.0000 5.9072 0.0000
0.0000 0.0000 5.7949
Bi Sb Te Pd
1 1 2 1
direct
0.0000 0.0000 0.0000
0.0000 0.0000 0.5000
0.0000 0.5000 0.0000
0.5000 0.0000 0.0000
0.5000 0.5000 0.5000

Record 9
BiSbTe2Pd PBE relaxed; distance to the lowest polymorph of the same formula = 0.0 meV per atom; M_tot = 0.000 μB/f.u.; energy = -3.67 eV per atom; SG = P4/mmm, No. 123
1.0
5.3711 0.0000 0.0000
0.0000 5.3711 0.0000
0.0000 0.0000 5.1418
Bi Sb Te Pd
1 1 2 1
direct
0.0000 0.0000 0.0000
0.5000 0.5000 0.0000
0.0000 0.5000 0.5000
0.5000 0.0000 0.5000
0.5000 0.5000 0.5000

Record 10
ThBi2Sb2Pd7 PBE relaxed; M_tot = 0.000 μB/f.u.; energy = -5.46 eV per atom; SG = C2/m, No. 12
1.0
2.9655 -2.9410 0.0000
2.9655 2.9410 0.0000
-1.6382 0.0000 15.1074
Th Bi Sb Pd
1 2 2 7
direct
0.0000 0.0000 0.0000
0.1244 0.1244 0.4057
0.8756 0.8756 0.5943
0.4299 0.4299 0.7478
0.5701 0.5701 0.2522
0.0388 0.5391 0.1398
0.3606 0.3606 0.5729
0.4609 0.9612 0.8602
0.5000 0.5000 0.0000
0.5391 0.0388 0.1398
0.6394 0.6394 0.4271
0.9612 0.4609 0.8602

Record 11
Tl2Bi2SbPd7 PBE relaxed; M_tot = 0.000 μB/f.u.; energy = -4.61 eV per atom; SG = C2/m, No. 12
1.0
2.8681 -2.8184 0.0000
2.8681 2.8184 0.0000
-1.9018 0.0000 15.5437
Tl Bi Sb Pd
2 2 1 7
direct
0.0871 0.0871 0.2556
0.9129 0.9129 0.7444
0.3663 0.3663 0.6090
0.6337 0.6337 0.3910
0.5000 0.5000 0.0000
0.0000 0.0000 0.0000
0.0437 0.5441 0.1284
0.1664 0.1664 0.4394
0.4559 0.9563 0.8716
0.5441 0.0437 0.1284
0.8336 0.8336 0.5606
0.9563 0.4559 0.8716

Record 12
BiSbPd2W PBE relaxed; M_tot = 0.000 μB/f.u.; energy = -5.43 eV per atom; SG = P4/mmm, No. 123
1.0
4.9430 0.0000 0.0000
0.0000 4.9430 0.0000
0.0000 0.0000 5.1689
Bi Sb Pd W
1 1 2 1
direct
0.0000 0.0000 0.0000
0.5000 0.5000 0.0000
0.0000 0.5000 0.5000
0.5000 0.0000 0.5000
0.5000 0.5000 0.5000

Record 13
ZnBi2Sb2Pd7 PBE relaxed; M_tot = 0.000 μB/f.u.; energy = -4.75 eV per atom; SG = C2/m, No. 12
1.0
2.7611 -2.7617 0.0000
2.7611 2.7617 0.0000
-2.6693 0.0000 16.5540
Zn Bi Sb Pd
1 2 2 7
direct
0.0000 0.0000 0.0000
0.3846 0.3846 0.7629
0.6154 0.6154 0.2371
0.2161 0.2161 0.4317
0.7839 0.7839 0.5683
0.0588 0.5588 0.1205
0.2962 0.2962 0.5945
0.4412 0.9412 0.8795
0.5000 0.5000 0.0000
0.5588 0.0588 0.1205
0.7038 0.7038 0.4055
0.9412 0.4412 0.8795

Record 14
Sc4BiPd15 PBE relaxed; M_tot = 0.000 μB/f.u.; energy = -6.08 eV per atom; formation enthalpy at 0 K = -0.7287 eV/atom; SG = P4/mmm, No. 123
1.0
4.0350 0.0000 0.0000
0.0000 4.0350 0.0000
0.0000 0.0000 20.1550
Sc Bi Pd
4 1 15
direct
0.0000 0.0000 0.0982
0.0000 0.0000 0.2935
0.0000 0.0000 0.7065
0.0000 0.0000 0.9018
0.0000 0.0000 0.5000
0.0000 0.5000 0.0000
0.0000 0.5000 0.1976
0.0000 0.5000 0.3947
0.0000 0.5000 0.6053
0.0000 0.5000 0.8024
0.5000 0.0000 0.0000
0.5000 0.0000 0.1976
0.5000 0.0000 0.3947
0.5000 0.0000 0.6053
0.5000 0.0000 0.8024
0.5000 0.5000 0.0989
0.5000 0.5000 0.2976
0.5000 0.5000 0.5000
0.5000 0.5000 0.7024
0.5000 0.5000 0.9011

Record 15
ScBi3Pd12 PBE relaxed; M_tot = 0.000 μB/f.u.; energy = -5.41 eV per atom; formation enthalpy at 0 K = -0.3939 eV/atom; SG = P4/mmm, No. 123
1.0
4.1038 0.0000 0.0000
0.0000 4.1038 0.0000
0.0000 0.0000 16.4392
Sc Bi Pd
1 3 12
direct
0.0000 0.0000 0.0000
0.0000 0.0000 0.2435
0.0000 0.0000 0.5000
0.0000 0.0000 0.7565
0.0000 0.5000 0.1183
0.0000 0.5000 0.3730
0.0000 0.5000 0.6270
0.0000 0.5000 0.8817
0.5000 0.0000 0.1183
0.5000 0.0000 0.3730
0.5000 0.0000 0.6270
0.5000 0.0000 0.8817
0.5000 0.5000 0.0000
0.5000 0.5000 0.2486
0.5000 0.5000 0.5000
0.5000 0.5000 0.7514

Record 16
ScBi3Pd PBE relaxed; distance to the lowest polymorph of the same formula = 265.6 meV per atom; M_tot = 0.000 μB/f.u.; energy = -4.18 eV per atom; formation enthalpy at 0 K = 0.4560 eV/atom; SG = Pm-3m, No. 221
1.0
5.5136 0.0000 0.0000
0.0000 5.5136 0.0000
0.0000 0.0000 5.5136
Sc Bi Pd
1 3 1
direct
0.0000 0.0000 0.0000
0.0000 0.0000 0.5000
0.0000 0.5000 0.0000
0.5000 0.0000 0.0000
0.5000 0.5000 0.5000

Record 17
Sc3BiPd12 PBE relaxed; M_tot = 0.000 μB/f.u.; energy = -6.03 eV per atom; formation enthalpy at 0 K = -0.7009 eV/atom; SG = P4/mmm, No. 123
1.0
4.0407 0.0000 0.0000
0.0000 4.0407 0.0000
0.0000 0.0000 16.1599
Sc Bi Pd
3 1 12
direct
0.0000 0.0000 0.0000
0.0000 0.0000 0.2422
0.0000 0.0000 0.7578
0.0000 0.0000 0.5000
0.0000 0.5000 0.1230
0.0000 0.5000 0.3689
0.0000 0.5000 0.6311
0.0000 0.5000 0.8770
0.5000 0.0000 0.1230
0.5000 0.0000 0.3689
0.5000 0.0000 0.6311
0.5000 0.0000 0.8770
0.5000 0.5000 0.0000
0.5000 0.5000 0.2477
0.5000 0.5000 0.5000
0.5000 0.5000 0.7523

Record 18
ScBi4Pd15 PBE relaxed; M_tot = 0.000 μB/f.u.; energy = -5.35 eV per atom; formation enthalpy at 0 K = -0.3593 eV/atom; SG = P4/mmm, No. 123
1.0
4.1096 0.0000 0.0000
0.0000 4.1096 0.0000
0.0000 0.0000 20.6058
Sc Bi Pd
1 4 15
direct
0.0000 0.0000 0.0000
0.0000 0.0000 0.1939
0.0000 0.0000 0.3983
0.0000 0.0000 0.6017
0.0000 0.0000 0.8061
0.0000 0.5000 0.0941
0.0000 0.5000 0.2972
0.0000 0.5000 0.5000
0.0000 0.5000 0.7028
0.0000 0.5000 0.9059
0.5000 0.0000 0.0941
0.5000 0.0000 0.2972
0.5000 0.0000 0.5000
0.5000 0.0000 0.7028
0.5000 0.0000 0.9059
0.5000 0.5000 0.0000
0.5000 0.5000 0.1979
0.5000 0.5000 0.3985
0.5000 0.5000 0.6015
0.5000 0.5000 0.8021

Record 19
ScBi2Pd8 PBE relaxed; distance to the lowest polymorph of the same formula = 0.0 meV per atom; M_tot = 0.000 μB/f.u.; energy = -5.50 eV per atom; formation enthalpy at 0 K = -0.4454 eV/atom; SG = C2/m, No. 12
1.0
6.5112 -4.0013 0.0000
6.5112 4.0013 0.0000
-1.2399 0.0000 3.8314
Sc Bi Pd
1 2 8
direct
0.0000 0.0000 0.0000
0.3385 0.3385 0.3392
0.6615 0.6615 0.6608
0.0877 0.5832 0.8358
0.1568 0.1568 0.6557
0.2521 0.7479 0.5000
0.4168 0.9123 0.1642
0.5832 0.0877 0.8358
0.7479 0.2521 0.5000
0.8432 0.8432 0.3443
0.9123 0.4168 0.1642

Record 20
Sc2BiPd2 PBE relaxed; distance to the lowest polymorph of the same formula = 227.0 meV per atom; M_tot = 0.000 μB/f.u.; energy = -5.95 eV per atom; formation enthalpy at 0 K = -0.5640 eV/atom; SG = I4/mmm, No. 139
1.0
-2.2636 2.2636 5.4335
2.2636 -2.2636 5.4335
2.2636 2.2636 -5.4335
Sc Bi Pd
2 1 2
direct
0.2500 0.7500 0.5000
0.7500 0.2500 0.5000
0.0000 0.0000 0.0000
0.3815 0.3815 0.0000
0.6185 0.6185 0.0000

Record 21
Sc3BiPd PBE relaxed; distance to the lowest polymorph of the same formula = 0.0 meV per atom; M_tot = 0.000 μB/f.u.; energy = -5.95 eV per atom; formation enthalpy at 0 K = -0.3324 eV/atom; SG = Pm-3m, No. 221
1.0
5.0772 0.0000 0.0000
0.0000 5.0772 0.0000
0.0000 0.0000 5.0772
Sc Bi Pd
3 1 1
direct
0.0000 0.0000 0.5000
0.0000 0.5000 0.0000
0.5000 0.0000 0.0000
0.5000 0.5000 0.5000
0.0000 0.0000 0.0000

no.,volume (Å³/cell)
1,260.9
2,397.1
3,293.2
4,298.5
5,264.0
6,222.0
7,257.2
8,202.2
9,148.3
10,263.5
11,251.3
12,126.3
13,252.5
14,328.2
15,276.9
16,167.6
17,263.8
18,348.0
19,199.6
20,111.4
21,130.9